Entry 1:
5
Lattice="4.400 0.000 0.000 0.000 4.400 0.000 0.000 0.000 4.712" Properties=species:S:1:pos:R:3 comment="HfSiPt2S | Alexandria via LeMat-Bulk | meta-GGA SCAN | PBEsol geometry" volume_a3_per_cell=91.2 raw_formation_energy_ev_per_atom=0.111 space_group="No. 123" mass_density_g_cm3=11.4 pbc="T T T"
Hf 0.000 0.000 0.000
Si 2.200 2.200 0.000
Pt 0.000 2.200 2.356
Pt 2.200 0.000 2.356
S 0.000 0.000 2.356



Entry 2:
5
Lattice="4.418 0.000 0.000 0.000 4.418 0.000 0.000 0.000 5.674" Properties=species:S:1:pos:R:3 comment="Cd2BiCBr | Alexandria via LeMat-Bulk | meta-GGA SCAN | PBEsol geometry" volume_a3_per_cell=110.7 raw_formation_energy_ev_per_atom=0.838 space_group="No. 123" mass_density_g_cm3=7.9 pbc="T T T"
Cd 0.000 2.209 0.000
Cd 2.209 0.000 0.000
Bi 0.000 0.000 2.837
C 2.209 2.209 0.000
Br 2.209 2.209 2.837



Entry 3:
36
Lattice="4.915 0.000 0.000 -2.458 4.257 0.000 0.000 0.000 24.311" Properties=species:S:1:pos:R:3 comment="Th2Ni7 | Alexandria via LeMat-Bulk | meta-GGA SCAN | PBEsol geometry" volume_a3_per_cell=508.6 space_group="No. 194" mass_density_g_cm3=11.4 delta_e_f_ev_per_fu=-3.41 pbc="T T T"
Th 0.000 2.838 0.775
Th 0.000 2.838 4.271
Th 0.000 2.838 7.884
Th 0.000 2.838 11.381
Th 2.458 1.419 12.930
Th 2.458 1.419 16.427
Th 2.458 1.419 20.040
Th 2.458 1.419 23.536
Ni 0.000 0.000 0.000
Ni 0.000 0.000 4.079
Ni 0.000 0.000 8.077
Ni 0.000 0.000 12.155
Ni 0.000 0.000 16.234
Ni 0.000 0.000 20.232
Ni 0.000 1.418 18.233
Ni 0.000 1.423 14.243
Ni 0.000 1.423 22.223
Ni -1.225 3.545 14.243
Ni -1.229 3.548 18.233
Ni -1.225 3.545 22.223
Ni 1.228 0.709 6.078
Ni 0.000 2.838 16.235
Ni 0.000 2.838 20.232
Ni 1.232 0.711 2.088
Ni 1.232 0.711 10.068
Ni 1.225 3.545 14.243
Ni 1.225 3.545 22.223
Ni 2.458 1.419 4.079
Ni 2.458 1.419 8.076
Ni 1.229 3.548 18.233
Ni 3.683 0.711 2.088
Ni 3.687 0.709 6.078
Ni 3.683 0.711 10.068
Ni 2.458 2.834 2.088
Ni 2.458 2.834 10.068
Ni 2.458 2.838 6.078



Entry 4:
5
Lattice="5.898 0.000 0.000 0.000 5.898 0.000 0.000 0.000 5.898" Properties=species:S:1:pos:R:3 comment="CaTl3Te | Alexandria via LeMat-Bulk | meta-GGA SCAN | PBEsol geometry" volume_a3_per_cell=205.1 raw_formation_energy_ev_per_atom=0.269 space_group="No. 221" mass_density_g_cm3=6.3 pbc="T T T"
Ca 0.000 0.000 0.000
Tl 0.000 2.949 2.949
Tl 2.949 0.000 2.949
Tl 2.949 2.949 0.000
Te 2.949 2.949 2.949



Entry 5:
4
Lattice="-1.911 1.911 4.648 1.911 -1.911 4.648 1.911 1.911 -4.648" Properties=species:S:1:pos:R:3 comment="CoTeAu2 | Alexandria via LeMat-Bulk | meta-GGA SCAN | PBEsol geometry" volume_a3_per_cell=67.9 raw_formation_energy_ev_per_atom=0.262 space_group="No. 139" mass_density_g_cm3=14.2 pbc="T T T"
Co 0.000 0.000 0.000
Te 0.000 0.000 4.648
Au 1.911 0.000 2.324
Au 0.000 1.911 2.324



Entry 6:
4
Lattice="0.000 3.769 3.769 3.769 0.000 3.769 3.769 3.769 0.000" Properties=species:S:1:pos:R:3 comment="SrLi2Tl | Alexandria via LeMat-Bulk | meta-GGA SCAN | PBEsol geometry" volume_a3_per_cell=107.1 space_group="No. 216" mass_density_g_cm3=4.7 delta_e_f_ev_per_fu=-1.05 pbc="T T T"
Sr 0.000 0.000 0.000
Li 3.769 3.769 3.769
Li 5.653 5.653 5.653
Tl 1.884 1.884 1.884



Entry 7:
4
Lattice="2.723 0.000 0.000 0.000 2.723 0.000 0.000 0.000 8.276" Properties=species:S:1:pos:R:3 comment="ScTc2Ir | Alexandria via LeMat-Bulk | meta-GGA SCAN | PBEsol geometry" volume_a3_per_cell=61.4 space_group="No. 123" de_polymorph_ev_per_atom=0.211 mass_density_g_cm3=11.7 delta_e_f_ev_per_fu=-0.32 pbc="T T T"
Sc 0.000 0.000 0.000
Tc 1.362 1.362 2.256
Tc 1.362 1.362 6.020
Ir 0.000 0.000 4.138



Entry 8:
4
Lattice="2.728 0.000 0.000 -1.364 2.362 0.000 0.000 0.000 8.319" Properties=species:S:1:pos:R:3 comment="BePt3 | Alexandria via LeMat-Bulk | meta-GGA SCAN | PBEsol geometry" volume_a3_per_cell=53.6 space_group="No. 187" mass_density_g_cm3=18.4 delta_e_f_ev_per_fu=-1.71 pbc="T T T"
Be 0.000 0.000 0.000
Pt 0.000 0.000 4.160
Pt 1.364 0.787 1.742
Pt 1.364 0.787 6.578



Entry 9:
4
Lattice="4.939 0.000 0.000 0.000 4.939 0.000 0.000 0.000 3.597" Properties=species:S:1:pos:R:3 comment="MgAs2Pb | Alexandria via LeMat-Bulk | meta-GGA SCAN | PBEsol geometry" volume_a3_per_cell=87.7 space_group="No. 123" mass_density_g_cm3=7.2 delta_e_f_ev_per_fu=0.37 pbc="T T T"
Mg 0.000 0.000 0.000
As 0.000 2.469 1.798
As 2.469 0.000 1.798
Pb 2.469 2.469 0.000



Entry 10:
5
Lattice="-2.025 2.025 5.685 2.025 -2.025 5.685 2.025 2.025 -5.685" Properties=species:S:1:pos:R:3 comment="CaAl2Zn2 | Alexandria via LeMat-Bulk | meta-GGA SCAN | PBEsol geometry" volume_a3_per_cell=93.3 space_group="No. 139" mass_density_g_cm3=4.0 delta_e_f_ev_per_fu=-1.80 pbc="T T T"
Ca 0.000 0.000 0.000
Al 2.025 0.000 2.843
Al 0.000 2.025 2.843
Zn 0.000 0.000 4.464
Zn 0.000 0.000 6.906



Entry 11:
4
Lattice="2.088 1.206 6.744 -2.088 1.206 6.744 0.000 -2.411 6.744" Properties=species:S:1:pos:R:3 comment="Ca2SeBr | Alexandria via LeMat-Bulk | meta-GGA SCAN | PBEsol geometry" volume_a3_per_cell=101.9 raw_formation_energy_ev_per_atom=-1.834 space_group="No. 166" de_polymorph_ev_per_atom=0.000 mass_density_g_cm3=3.9 pbc="T T T"
Ca 0.000 0.000 4.909
Ca 0.000 0.000 15.323
Se 0.000 0.000 10.116
Br 0.000 0.000 0.000



DFT total energy (eV per atom)
-44.43 -32.96 -34.27 -52.53 -47.96 -25.12 -38.94 -54.16 -30.19 -10.80 -16.55